Entry 1:
# ScSbAsSe2

A relaxed ScSbAsSe2 crystal (PBE, Alexandria via LeMat-Bulk).

E_form (uncorrected) = -10 kJ/mol of atoms
DOS(E_F) = 0.7215 states/eV/atom
total magnetic moment = 0.0 μB/cell
uncorrected energy = -22.589 eV/cell
distance to the lowest polymorph of the same formula = 0 meV per atom

abc: 5.0794 5.0794 5.2182
angles: 90.00 90.00 90.00
Space group P4/mmm (No. 123)
One atom of each set of equivalent atoms:
Sc 0.0000 0.0000 0.0000 (multiplicity 1)
Sb 0.5000 0.5000 0.5000 (multiplicity 1)
As 0.0000 0.0000 0.5000 (multiplicity 1)
Se 0.0000 0.5000 0.0000 (multiplicity 2)

=====

Entry 2:
# ScSnSb2As

A relaxed ScSnSb2As crystal (PBE, Alexandria via LeMat-Bulk).

E_form (uncorrected) = 16 kJ/mol of atoms
DOS(E_F) = 0.7514 states/eV/atom
total magnetic moment = 0.0 μB/cell
uncorrected energy = -22.379 eV/cell

abc: 5.5082 5.5082 5.0630
angles: 90.00 90.00 90.00
Space group P4/mmm (No. 123)
One atom of each set of equivalent atoms:
Sc 0.0000 0.0000 0.0000 (multiplicity 1)
Sn 0.5000 0.5000 0.5000 (multiplicity 1)
Sb 0.0000 0.5000 0.0000 (multiplicity 2)
As 0.0000 0.0000 0.5000 (multiplicity 1)

=====

Entry 3:
# Sr2Sc2Sb2As

A relaxed Sr2Sc2Sb2As crystal (PBE, Alexandria via LeMat-Bulk).

E_form (uncorrected) = -96 kJ/mol of atoms
DOS(E_F) = 0.6947 states/eV/atom
total magnetic moment = 0.0 μB/cell
uncorrected energy = -71.725 eV/cell

abc: 5.0391 5.0391 16.9163
angles: 90.00 90.00 90.00
Space group I4/mmm (No. 139)
One atom of each set of equivalent atoms:
Sr 0.0000 0.0000 0.1762 (multiplicity 4)
Sc 0.0000 0.5000 0.0000 (multiplicity 4)
Sb 0.0000 0.0000 0.3770 (multiplicity 4)
As 0.0000 0.0000 0.0000 (multiplicity 2)

=====

Entry 4:
# ScSbTe2As

A relaxed ScSbTe2As crystal (PBE, Alexandria via LeMat-Bulk).

E_form (uncorrected) = 27 kJ/mol of atoms
DOS(E_F) = 0.6448 states/eV/atom
total magnetic moment = 0.0 μB/cell
uncorrected energy = -19.968 eV/cell
distance to the lowest polymorph of the same formula = 0 meV per atom

abc: 5.4408 5.4408 5.1935
angles: 90.00 90.00 90.00
Space group P4/mmm (No. 123)
One atom of each set of equivalent atoms:
Sc 0.0000 0.0000 0.0000 (multiplicity 1)
Sb 0.5000 0.5000 0.0000 (multiplicity 1)
Te 0.0000 0.5000 0.5000 (multiplicity 2)
As 0.5000 0.5000 0.5000 (multiplicity 1)

=====

Entry 5:
# ScSb2TeAs

A relaxed ScSb2TeAs crystal (PBE, Alexandria via LeMat-Bulk).

E_form (uncorrected) = 40 kJ/mol of atoms
DOS(E_F) = 1.1422 states/eV/atom
total magnetic moment = 0.0 μB/cell
uncorrected energy = -20.286 eV/cell
distance to the lowest polymorph of the same formula = 41 meV per atom

abc: 5.4890 5.4890 5.3576
angles: 90.00 90.00 90.00
Space group P4/mmm (No. 123)
One atom of each set of equivalent atoms:
Sc 0.0000 0.0000 0.0000 (multiplicity 1)
Sb 0.0000 0.5000 0.0000 (multiplicity 2)
Te 0.0000 0.0000 0.5000 (multiplicity 1)
As 0.5000 0.5000 0.5000 (multiplicity 1)

=====

Entry 6:
# Sc8SbTe4As3

A relaxed Sc8SbTe4As3 crystal (PBE, Alexandria via LeMat-Bulk).

E_form (uncorrected) = -120 kJ/mol of atoms
DOS(E_F) = 0.4937 states/eV/atom
total magnetic moment = 0.0 μB/cell
uncorrected energy = -303.498 eV/cell

abc: 8.0769 8.0769 20.1613
angles: 90.00 90.00 120.00
Space group R-3m (No. 166, hexagonal axes)
One atom of each set of equivalent atoms:
Sc 0.0000 0.0000 0.2379 (multiplicity 6)
Sc 0.0142 0.5071 0.7598 (multiplicity 18)
Sb 0.0000 0.0000 0.5000 (multiplicity 3)
Te 0.0000 0.0000 0.0000 (multiplicity 3)
Te 0.0000 0.5000 0.0000 (multiplicity 9)
As 0.0000 0.5000 0.5000 (multiplicity 9)

=====

Entry 7:
# Sc6Sb3TeAs2

A relaxed Sc6Sb3TeAs2 crystal (PBE, Alexandria via LeMat-Bulk).

E_form (uncorrected) = -108 kJ/mol of atoms
DOS(E_F) = 0.1947 states/eV/atom
total magnetic moment = 0.0 μB/cell
uncorrected energy = -152.560 eV/cell

abc: 17.7333 4.0546 8.1725
angles: 90.00 103.47 90.00
Space group C2/m (No. 12)
One atom of each set of equivalent atoms:
Sc 0.0091 0.0000 0.2607 (multiplicity 4)
Sc 0.1722 0.5000 0.5720 (multiplicity 4)
Sc 0.1725 0.5000 0.1023 (multiplicity 4)
Sb 0.0000 0.5000 0.5000 (multiplicity 2)
Sb 0.1617 0.0000 0.8320 (multiplicity 4)
Te 0.0000 0.5000 0.0000 (multiplicity 2)
As 0.1686 0.0000 0.3346 (multiplicity 4)

=====

Entry 8:
# Sc4Sb2TeAs

A relaxed Sc4Sb2TeAs crystal (PBE, Alexandria via LeMat-Bulk).

E_form (uncorrected) = -107 kJ/mol of atoms
DOS(E_F) = 0.2248 states/eV/atom
total magnetic moment = 0.0 μB/cell
uncorrected energy = -50.193 eV/cell

abc: 7.0873 4.0841 7.0881
angles: 90.00 109.27 90.00
Space group P2/m (No. 10)
One atom of each set of equivalent atoms:
Sc 0.2324 0.0000 0.2370 (multiplicity 2)
Sc 0.2360 0.5000 0.7532 (multiplicity 2)
Sb 0.0000 0.0000 0.5000 (multiplicity 1)
Sb 0.5000 0.5000 0.5000 (multiplicity 1)
Te 0.5000 0.0000 0.0000 (multiplicity 1)
As 0.0000 0.5000 0.0000 (multiplicity 1)